Sc2Sn2Mo | PBE | optimized geometry

Calculated values
* magnetic moment: 1.35 μB per formula unit
* E: -5.876 eV/atom
* energy relative to the elements: 0.4238 eV per atom

Lattice parameters (Å, degrees): 3.9336 3.9336 15.5208 90.00 90.00 90.00
Space group I4/mmm (No. 139)
Inequivalent atoms, fractional coordinates:
Sc1 0.0000 0.0000 0.0918 [4 per cell]
Sn1 0.0000 0.5000 0.2500 [4 per cell]
Mo1 0.0000 0.0000 0.5000 [2 per cell]